This record from Alexandria describes a geometry-optimized CeErSn2 structure. The functional is PBE.

Calculated values
The value obtained for the total energy is -21.00 eV per formula unit. The energy relative to the elements comes out at -0.626 eV/atom. For the density of states at the Fermi level, the calculation gives 8.01 states/eV/cell.

The structure in extended XYZ format:
```
4
Lattice="-2.5773 -2.9445 -2.3333 3.2379 -0.5657 -2.8626 3.3516 -2.8622 4.3566" Properties=species:S:1:pos:R:3 pbc="T T T"
Sn 4.1516 -3.3503 2.0396
Sn -0.8122 -4.4016 -0.0489
Ce 1.9253 -2.8546 -0.5766
Er 1.4102 -4.8888 2.5612
```